PBE Tm2ZrZn, relaxed; E above lowest polymorph = 145 meV per atom; E_form = -0.0092 eV/atom; crystal system = tetragonal
1.0
4.5810 0.0000 0.0000
0.0000 4.5810 0.0000
0.0000 0.0000 4.4899
Tm Zr Zn
2 1 1
direct
0.0000 0.5000 0.0000 Tm
0.5000 0.0000 0.0000 Tm
0.0000 0.0000 0.5000 Zr
0.5000 0.5000 0.5000 Zn

=====

PBE KNb2Ga, relaxed; E_form = 1.1013 eV/atom; crystal system = tetragonal
1.0
-2.1075 2.1075 10.2554
2.1075 -2.1075 10.2554
2.1075 2.1075 -10.2554
K Nb Ga
2 4 2
direct
0.0000 0.0000 0.0000 K
0.7500 0.2500 0.5000 K
0.1791 0.6250 0.0541 Nb
0.3750 0.4291 0.5541 Nb
0.5709 0.1250 0.9459 Nb
0.8750 0.8209 0.4459 Nb
0.2500 0.7500 0.5000 Ga
0.5000 0.5000 0.0000 Ga

=====

PBE Ac12Ge5Cl2, relaxed; crystal system = monoclinic; ΔE_f (raw) = -11.85 eV/f.u.
1.0
9.1145 -4.0758 0.0000
9.1145 4.0758 0.0000
-2.4705 0.0000 9.5239
Ac Ge Cl
12 5 2
direct
0.0048 0.0048 0.2698 Ac
0.0835 0.5769 0.9039 Ac
0.1079 0.5975 0.4342 Ac
0.4025 0.8921 0.5658 Ac
0.4231 0.9165 0.0961 Ac
0.4953 0.4953 0.1934 Ac
0.5047 0.5047 0.8066 Ac
0.5769 0.0835 0.9039 Ac
0.5975 0.1079 0.4342 Ac
0.8921 0.4025 0.5658 Ac
0.9165 0.4231 0.0961 Ac
0.9952 0.9952 0.7302 Ac
0.1798 0.1798 0.8409 Ge
0.1975 0.1975 0.3525 Ge
0.5000 0.5000 0.5000 Ge
0.8025 0.8025 0.6475 Ge
0.8202 0.8202 0.1591 Ge
0.2042 0.7958 0.0000 Cl
0.7958 0.2042 0.0000 Cl

=====

PBE CeBRh2, relaxed; E_form = -0.5073 eV/atom; crystal system = orthorhombic
1.0
1.7816 -5.0672 0.0000
1.7816 5.0672 0.0000
0.0000 0.0000 6.7844
Ce B Rh
2 2 4
direct
0.0684 0.9316 0.7500 Ce
0.9316 0.0684 0.2500 Ce
0.2117 0.7883 0.2500 B
0.7883 0.2117 0.7500 B
0.3481 0.6519 0.5515 Rh
0.3481 0.6519 0.9485 Rh
0.6519 0.3481 0.0515 Rh
0.6519 0.3481 0.4485 Rh

=====

PBE Na6CaTl12, relaxed; E_form = -0.0215 eV/atom; crystal system = trigonal
1.0
5.8060 3.3521 5.3228
-5.8060 3.3521 5.3228
0.0000 -6.7042 5.3228
Na Ca Tl
6 1 12
direct
0.1775 0.2439 0.6455 Na
0.2439 0.6455 0.1775 Na
0.3545 0.8225 0.7561 Na
0.6455 0.1775 0.2439 Na
0.7561 0.3545 0.8225 Na
0.8225 0.7561 0.3545 Na
0.0000 0.0000 0.0000 Ca
0.0200 0.3505 0.1081 Tl
0.1081 0.0200 0.3505 Tl
0.1333 0.6290 0.5446 Tl
0.3505 0.1081 0.0200 Tl
0.3710 0.4554 0.8667 Tl
0.4554 0.8667 0.3710 Tl
0.5446 0.1333 0.6290 Tl
0.6290 0.5446 0.1333 Tl
0.6495 0.8919 0.9800 Tl
0.8667 0.3710 0.4554 Tl
0.8919 0.9800 0.6495 Tl
0.9800 0.6495 0.8919 Tl

=====

PBE AgSCl4, relaxed; E above lowest polymorph = 0 meV per atom; crystal system = triclinic; ΔE_f (raw) = -1.05 eV/f.u.
1.0
4.1363 0.0000 0.0000
-1.1857 6.4120 0.0000
-0.0561 -1.8186 6.7563
Ag S Cl
1 1 4
direct
0.0000 0.0000 0.0000 Ag
0.4458 0.7183 0.4168 S
0.1008 0.9850 0.3408 Cl
0.3784 0.5362 0.1287 Cl
0.5160 0.0170 0.8013 Cl
0.7160 0.5287 0.5242 Cl

=====

PBE Ac2Zn4CdIr3, relaxed; E_form = -0.3795 eV/atom; crystal system = tetragonal
1.0
4.2202 0.0000 0.0000
0.0000 4.2202 0.0000
0.0000 0.0000 11.5401
Ac Zn Cd Ir
2 4 1 3
direct
0.0000 0.5000 0.2346 Ac
0.5000 0.0000 0.7654 Ac
0.0000 0.0000 0.0000 Zn
0.0000 0.5000 0.6395 Zn
0.5000 0.0000 0.3605 Zn
0.5000 0.5000 0.0000 Zn
0.0000 0.0000 0.5000 Cd
0.0000 0.5000 0.8634 Ir
0.5000 0.0000 0.1366 Ir
0.5000 0.5000 0.5000 Ir

=====

PBE PuTl2Hg4, relaxed; E_form = -0.0446 eV/atom; crystal system = triclinic
1.0
5.1160 0.0000 0.0000
-2.5286 4.4580 0.0000
-2.5246 -1.4780 8.4261
Pu Tl Hg
1 2 4
direct
0.0000 0.0000 0.0000 Pu
0.2691 0.1382 0.4063 Tl
0.7309 0.8618 0.5937 Tl
0.2151 0.6071 0.8213 Hg
0.4691 0.7365 0.2057 Hg
0.5309 0.2635 0.7943 Hg
0.7849 0.3929 0.1787 Hg

=====

PBE Na3SrZn8, relaxed; E_form = -0.0793 eV/atom; crystal system = trigonal
1.0
2.7450 1.5848 9.3092
-2.7450 1.5848 9.3092
0.0000 -3.1697 9.3092
Na Sr Zn
3 1 8
direct
0.0000 0.0000 0.0000 Na
0.1208 0.1208 0.1208 Na
0.4921 0.4921 0.4921 Na
0.6198 0.6198 0.6198 Sr
0.0550 0.0550 0.5553 Zn
0.0550 0.5553 0.0550 Zn
0.0607 0.5579 0.5579 Zn
0.3096 0.3096 0.3096 Zn
0.5553 0.0550 0.0550 Zn
0.5579 0.0607 0.5579 Zn
0.5579 0.5579 0.0607 Zn
0.8071 0.8071 0.8071 Zn

=====

PBE Ba3Sr2Mg3, relaxed; E_form = -0.0249 eV/atom; crystal system = orthorhombic
1.0
-2.1516 3.2024 13.0601
2.1516 -3.2024 13.0601
2.1516 3.2024 -13.0601
Ba Sr Mg
3 2 3
direct
0.0000 0.0000 0.0000 Ba
0.3809 0.8809 0.5000 Ba
0.6191 0.1191 0.5000 Ba
0.2279 0.2279 0.0000 Sr
0.7721 0.7721 0.0000 Sr
0.1173 0.6173 0.5000 Mg
0.5000 0.5000 0.0000 Mg
0.8827 0.3827 0.5000 Mg

=====

PBE Zr2TaMo, relaxed; E above lowest polymorph = 139 meV per atom; E_form = 0.1230 eV/atom; crystal system = orthorhombic
1.0
1.6685 -2.4730 0.0000
1.6685 2.4730 0.0000
0.0000 0.0000 9.4359
Zr Ta Mo
2 1 1
direct
0.0000 0.0000 0.2354 Zr
0.0000 0.0000 0.7646 Zr
0.5000 0.5000 0.5000 Ta
0.5000 0.5000 0.0000 Mo

=====

PBE La15TbTl4, relaxed; E_form = -0.1842 eV/atom; crystal system = tetragonal
1.0
5.0778 0.0000 0.0000
0.0000 5.0778 0.0000
0.0000 0.0000 25.7740
La Tb Tl
15 1 4
direct
0.0000 0.0000 0.0000 La
0.0000 0.0000 0.2032 La
0.0000 0.0000 0.4013 La
0.0000 0.0000 0.5987 La
0.0000 0.0000 0.7968 La
0.0000 0.5000 0.1034 La
0.0000 0.5000 0.3023 La
0.0000 0.5000 0.5000 La
0.0000 0.5000 0.6977 La
0.0000 0.5000 0.8966 La
0.5000 0.0000 0.1034 La
0.5000 0.0000 0.3023 La
0.5000 0.0000 0.5000 La
0.5000 0.0000 0.6977 La
0.5000 0.0000 0.8966 La
0.5000 0.5000 0.0000 Tb
0.5000 0.5000 0.2041 Tl
0.5000 0.5000 0.4012 Tl
0.5000 0.5000 0.5988 Tl
0.5000 0.5000 0.7959 Tl

=====

PBE TbAlZnAu3, relaxed; E_form = -0.3886 eV/atom; crystal system = orthorhombic
1.0
3.3241 -5.9925 0.0000
3.3241 5.9925 0.0000
0.0000 0.0000 6.2129
Tb Al Zn Au
2 2 2 6
direct
0.1970 0.8030 0.7500 Tb
0.8030 0.1970 0.2500 Tb
0.1283 0.8717 0.2500 Al
0.8717 0.1283 0.7500 Al
0.4389 0.5611 0.7500 Zn
0.5611 0.4389 0.2500 Zn
0.2137 0.2137 0.0000 Au
0.2137 0.2137 0.5000 Au
0.3324 0.6676 0.2500 Au
0.6676 0.3324 0.7500 Au
0.7863 0.7863 0.0000 Au
0.7863 0.7863 0.5000 Au

=====

PBE KVN, relaxed; E above lowest polymorph = 592 meV per atom; crystal system = monoclinic; ΔE_f (raw) = 0.49 eV/f.u.
1.0
5.9882 -2.9470 0.0000
5.9882 2.9470 0.0000
-1.6414 0.0000 4.2088
K V N
2 2 2
direct
0.1620 0.1620 0.3326 K
0.8380 0.8380 0.6674 K
0.4733 0.4733 0.2521 V
0.5267 0.5267 0.7479 V
0.3861 0.3861 0.8212 N
0.6139 0.6139 0.1788 N

=====

PBE K2BaPO, relaxed; crystal system = tetragonal; ΔE_f (raw) = -0.91 eV/f.u.
1.0
6.0419 0.0000 0.0000
0.0000 6.0419 0.0000
0.0000 0.0000 6.0638
K Ba P O
2 1 1 1
direct
0.0000 0.5000 0.0000 K
0.5000 0.0000 0.0000 K
0.0000 0.0000 0.5000 Ba
0.0000 0.0000 0.0000 P
0.5000 0.5000 0.5000 O

=====

PBE Tl2MoPb, relaxed; E above lowest polymorph = 45 meV per atom; E_form = 0.5338 eV/atom; crystal system = trigonal
1.0
1.6268 0.9392 11.0712
-1.6268 0.9392 11.0712
0.0000 -1.8784 11.0712
Tl Mo Pb
2 1 1
direct
0.0000 0.0000 0.0000 Tl
0.2437 0.2437 0.2437 Tl
0.7370 0.7370 0.7370 Mo
0.4740 0.4740 0.4740 Pb

=====

PBE KZr2Be2, relaxed; E above lowest polymorph = 0 meV per atom; E_form = 0.5436 eV/atom; crystal system = tetragonal
1.0
8.5781 0.0000 0.0000
0.0000 8.5781 0.0000
0.0000 0.0000 2.7554
K Zr Be
2 4 4
direct
0.0000 0.0000 0.0000 K
0.5000 0.5000 0.0000 K
0.1302 0.3698 0.5000 Zr
0.3698 0.8698 0.5000 Zr
0.6302 0.1302 0.5000 Zr
0.8698 0.6302 0.5000 Zr
0.1591 0.6591 0.0000 Be
0.3409 0.1591 0.0000 Be
0.6591 0.8409 0.0000 Be
0.8409 0.3409 0.0000 Be

=====

PBE Li2CaGeF8, relaxed; crystal system = monoclinic; ΔE_f (raw) = -35.65 eV/f.u.
1.0
3.4643 -3.2571 0.0000
3.4643 3.2571 0.0000
-0.5532 0.0000 6.6540
Li Ca Ge F
2 1 1 8
direct
0.0298 0.0298 0.2220 Li
0.9702 0.9702 0.7780 Li
0.5000 0.5000 0.0000 Ca
0.5000 0.5000 0.5000 Ge
0.1842 0.1842 0.9920 F
0.2400 0.2400 0.4739 F
0.3032 0.6933 0.7029 F
0.3067 0.6968 0.2971 F
0.6933 0.3032 0.7029 F
0.6968 0.3067 0.2971 F
0.7600 0.7600 0.5261 F
0.8158 0.8158 0.0080 F

=====

PBE Tl2ReAg, relaxed; E above lowest polymorph = 24 meV per atom; E_form = 0.7620 eV/atom; crystal system = orthorhombic
1.0
1.7117 -2.3364 0.0000
1.7117 2.3364 0.0000
0.0000 0.0000 11.1641
Tl Re Ag
2 1 1
direct
0.0000 0.0000 0.0000 Tl
0.5000 0.5000 0.3278 Tl
0.5000 0.5000 0.7718 Re
0.0000 0.0000 0.5730 Ag

=====

PBE PaGeBi2, relaxed; E above lowest polymorph = 267 meV per atom; E_form = 0.1492 eV/atom; crystal system = trigonal
1.0
1.6671 0.9625 11.7556
-1.6671 0.9625 11.7556
0.0000 -1.9250 11.7556
Pa Ge Bi
1 1 2
direct
0.0000 0.0000 0.0000 Pa
0.5000 0.5000 0.5000 Ge
0.4127 0.4127 0.4127 Bi
0.5873 0.5873 0.5873 Bi

=====

Number 1: D(E_F) 4.90 states/eV/f.u.. Number 2: D(E_F) 4.05 states/eV/f.u.. Number 3: D(E_F) 21.26 states/eV/f.u.. Number 4: D(E_F) 2.84 states/eV/f.u.. Number 5: D(E_F) 10.03 states/eV/f.u.. Number 6: D(E_F) 4.39 states/eV/f.u.. Number 7: D(E_F) 3.77 states/eV/f.u.. Number 8: D(E_F) 17.45 states/eV/f.u.. Number 9: D(E_F) 4.69 states/eV/f.u.. Number 10: D(E_F) 7.34 states/eV/f.u.. Number 11: D(E_F) 5.45 states/eV/f.u.. Number 12: D(E_F) 30.19 states/eV/f.u.. Number 13: D(E_F) 2.75 states/eV/f.u.. Number 14: D(E_F) 1.67 states/eV/f.u.. Number 15: D(E_F) 5.40 states/eV/f.u.. Number 16: D(E_F) 3.91 states/eV/f.u.. Number 17: D(E_F) 2.69 states/eV/f.u.. Number 18: D(E_F) 0.00 states/eV/f.u.. Number 19: D(E_F) 2.38 states/eV/f.u.. Number 20: D(E_F) 3.60 states/eV/f.u..